Here is a relaxed structure of Sr2LiTa from the Alexandria database. Energies are from PBE-GGA.

a b c (Å): 6.486 6.486 6.097
angles (deg): 106.05 106.05 29.82
Fractional positions:
Sr: 0.000 0.000 0.000
Sr: 0.203 0.203 0.614
Li: 0.434 0.434 0.442
Ta: 0.754 0.754 0.142

Calculated values
Total magnetization = 0.445 μB/atom
Volume = 122 Å³/cell


Here is a relaxed structure of Sr2LiTa from the Alexandria database. Energies are from PBE-GGA.

a b c (Å): 11.752 11.752 11.752
angles (deg): 16.95 16.95 16.95
Fractional positions:
Sr: 0.244 0.244 0.244
Sr: 0.756 0.756 0.756
Li: 0.000 0.000 0.000
Ta: 0.500 0.500 0.500

Calculated values
Total magnetization = 0.000 μB/atom
Volume = 120 Å³/cell


Here is a relaxed structure of SrLiTa2 from the Alexandria database. Energies are from PBE-GGA.

a b c (Å): 6.379 6.379 6.379
angles (deg): 152.23 135.00 53.70
Fractional positions:
Sr: 0.000 0.000 0.000
Li: 0.500 0.500 0.000
Ta: 0.275 0.775 0.500
Ta: 0.725 0.225 0.500

Calculated values
Total magnetization = 0.000 μB/atom
Volume = 85 Å³/cell


Here is a relaxed structure of SrLi2Ta from the Alexandria database. Energies are from PBE-GGA.

a b c (Å): 11.223 11.223 11.223
angles (deg): 15.98 15.98 15.98
Fractional positions:
Sr: 0.000 0.000 0.000
Li: 0.240 0.240 0.240
Li: 0.760 0.760 0.760
Ta: 0.500 0.500 0.500

Calculated values
Total magnetization = 0.300 μB/atom
Volume = 93 Å³/cell


Here is a relaxed structure of SrLiTa2 from the Alexandria database. Energies are from PBE-GGA.

a b c (Å): 3.039 3.039 10.431
angles (deg): 90.00 90.00 108.72
Fractional positions:
Sr: 0.000 0.000 0.000
Li: 0.500 0.500 0.705
Ta: 0.000 0.000 0.474
Ta: 0.500 0.500 0.276

Calculated values
Total magnetization = 0.000 μB/atom
Volume = 91 Å³/cell


Here is a relaxed structure of SrLiTa3 from the Alexandria database. Energies are from PBE-GGA.

a b c (Å): 4.936 4.936 4.936
angles (deg): 90.00 90.00 90.00
Fractional positions:
Sr: 0.000 0.000 0.000
Li: 0.500 0.500 0.500
Ta: 0.000 0.000 0.500
Ta: 0.000 0.500 0.000
Ta: 0.500 0.000 0.000

Calculated values
Total magnetization = 0.000 μB/atom
Volume = 120 Å³/cell


Here is a relaxed structure of SrLi2Ta from the Alexandria database. Energies are from PBE-GGA.

a b c (Å): 3.093 3.093 9.624
angles (deg): 90.00 90.00 90.00
Fractional positions:
Sr: 0.000 0.000 0.000
Li: 0.000 0.000 0.480
Li: 0.500 0.500 0.685
Ta: 0.500 0.500 0.270

Calculated values
Total magnetization = 0.000 μB/atom
Volume = 92 Å³/cell


Here is a relaxed structure of Sr2LiTa from the Alexandria database. Energies are from PBE-GGA.

a b c (Å): 5.632 5.632 5.632
angles (deg): 60.00 60.00 60.00
Fractional positions:
Sr: 0.000 0.000 0.000
Sr: 0.250 0.250 0.250
Li: 0.500 0.500 0.500
Ta: 0.750 0.750 0.750

Calculated values
Total magnetization = 0.834 μB/atom
Volume = 126 Å³/cell


Here is a relaxed structure of SrLiTa2 from the Alexandria database. Energies are from PBE-GGA.

a b c (Å): 2.926 2.926 10.534
angles (deg): 90.00 90.00 90.00
Fractional positions:
Sr: 0.000 0.000 0.000
Li: 0.500 0.500 0.713
Ta: 0.000 0.000 0.487
Ta: 0.500 0.500 0.282

Calculated values
Total magnetization = 0.000 μB/atom
Volume = 90 Å³/cell


Here is a relaxed structure of SrLiTa2 from the Alexandria database. Energies are from PBE-GGA.

a b c (Å): 4.926 4.926 4.926
angles (deg): 60.00 60.00 60.00
Fractional positions:
Sr: 0.000 0.000 0.000
Li: 0.750 0.750 0.750
Ta: 0.250 0.250 0.250
Ta: 0.500 0.500 0.500

Calculated values
Total magnetization = 0.079 μB/atom
Volume = 85 Å³/cell


Here is a relaxed structure of SrLi2Ta from the Alexandria database. Energies are from PBE-GGA.

a b c (Å): 5.109 5.109 5.109
angles (deg): 60.00 60.00 60.00
Fractional positions:
Sr: 0.000 0.000 0.000
Li: 0.250 0.250 0.250
Li: 0.750 0.750 0.750
Ta: 0.500 0.500 0.500

Calculated values
Total magnetization = 0.461 μB/atom
Volume = 94 Å³/cell


Here is a relaxed structure of Sr2LiTa from the Alexandria database. Energies are from PBE-GGA.

a b c (Å): 7.032 7.032 7.032
angles (deg): 103.46 103.46 122.32
Fractional positions:
Sr: 0.103 0.625 0.978
Sr: 0.375 0.353 0.478
Sr: 0.647 0.125 0.022
Sr: 0.875 0.897 0.522
Li: 0.000 0.000 0.000
Li: 0.750 0.250 0.500
Ta: 0.250 0.750 0.500
Ta: 0.500 0.500 0.000

Calculated values
Total magnetization = 0.779 μB/atom
Volume = 257 Å³/cell


Here is a relaxed structure of SrLiTa2 from the Alexandria database. Energies are from PBE-GGA.

a b c (Å): 5.624 5.624 2.832
angles (deg): 90.00 90.00 90.00
Fractional positions:
Sr: 0.000 0.000 0.000
Li: 0.500 0.500 0.000
Ta: 0.000 0.500 0.500
Ta: 0.500 0.000 0.500

Calculated values
Total magnetization = 0.166 μB/atom
Volume = 90 Å³/cell


Here is a relaxed structure of SrLiTa2 from the Alexandria database. Energies are from PBE-GGA.

a b c (Å): 10.794 10.794 10.794
angles (deg): 16.70 16.70 16.70
Fractional positions:
Sr: 0.000 0.000 0.000
Li: 0.235 0.235 0.235
Ta: 0.493 0.493 0.493
Ta: 0.755 0.755 0.755

Calculated values
Total magnetization = 0.000 μB/atom
Volume = 91 Å³/cell


Here is a relaxed structure of Sr2LiTa from the Alexandria database. Energies are from PBE-GGA.

a b c (Å): 5.609 5.609 7.131
angles (deg): 95.30 95.30 34.18
Fractional positions:
Sr: 0.246 0.246 0.236
Sr: 0.754 0.754 0.764
Li: 0.000 0.000 0.500
Ta: 0.500 0.500 0.000

Calculated values
Total magnetization = 0.368 μB/atom
Volume = 125 Å³/cell


Here is a relaxed structure of SrLi2Ta from the Alexandria database. Energies are from PBE-GGA.

a b c (Å): 5.935 5.935 5.690
angles (deg): 113.50 113.50 28.43
Fractional positions:
Sr: 0.000 0.000 0.000
Li: 0.237 0.237 0.863
Li: 0.539 0.539 0.512
Ta: 0.786 0.786 0.393

Calculated values
Total magnetization = 0.000 μB/atom
Volume = 87 Å³/cell


Here is a relaxed structure of SrLi2Ta from the Alexandria database. Energies are from PBE-GGA.

a b c (Å): 6.596 6.596 6.596
angles (deg): 153.15 128.60 58.93
Fractional positions:
Sr: 0.000 0.000 0.000
Li: 0.277 0.777 0.500
Li: 0.723 0.223 0.500
Ta: 0.500 0.500 0.000

Calculated values
Total magnetization = 0.301 μB/atom
Volume = 101 Å³/cell


Here is a relaxed structure of SrLiTa2 from the Alexandria database. Energies are from PBE-GGA.

a b c (Å): 3.992 3.992 5.645
angles (deg): 90.00 90.00 90.00
Fractional positions:
Sr: 0.000 0.000 0.000
Li: 0.500 0.500 0.000
Ta: 0.000 0.500 0.500
Ta: 0.500 0.000 0.500

Calculated values
Total magnetization = 0.001 μB/atom
Volume = 90 Å³/cell


Here is a relaxed structure of SrLiTa2 from the Alexandria database. Energies are from PBE-GGA.

a b c (Å): 10.923 10.923 10.923
angles (deg): 154.38 154.38 36.54
Fractional positions:
Sr: 0.375 0.625 0.750
Sr: 0.625 0.375 0.250
Li: 0.125 0.875 0.250
Li: 0.875 0.125 0.750
Ta: 0.000 0.000 0.000
Ta: 0.000 0.000 0.500
Ta: 0.000 0.500 0.000
Ta: 0.500 0.000 0.500

Calculated values
Total magnetization = 0.000 μB/atom
Volume = 243 Å³/cell


Here is a relaxed structure of Sr3LiTa from the Alexandria database. Energies are from PBE-GGA.

a b c (Å): 6.053 6.053 6.053
angles (deg): 90.00 90.00 90.00
Fractional positions:
Sr: 0.000 0.000 0.500
Sr: 0.000 0.500 0.000
Sr: 0.500 0.000 0.000
Li: 0.500 0.500 0.500
Ta: 0.000 0.000 0.000

Calculated values
Total magnetization = 0.045 μB/atom
Volume = 222 Å³/cell


Calculated ΔH_f (0 K) (eV/f.u.), listed in the same order as above: 3.06, 3.03, 2.64, 2.97, 2.32, 14.37, 2.40, 4.04, 2.63, 3.59, 3.57, 4.49, 5.74, 2.96, 3.71, 2.98, 3.25, 3.63, 5.62, 4.87
Calculated N(E_F) (states/eV per cell), listed in the same order as above: 4.088, 4.609, 2.967, 3.427, 3.236, 7.116, 3.548, 6.349, 4.361, 7.396, 3.471, 13.419, 5.036, 5.691, 4.365, 3.948, 4.411, 7.312, 12.013, 8.424